Entry w
This record from the Alexandria database describes a geometry-optimized SrVIO2 structure. The functional is GGA+U.

## Properties
- density (g/cm³) = 3.69
- density of states at the Fermi level (states/eV/cell) = 3.96

abc: 4.577 4.577 6.388
angles: 90.00 90.00 90.00
Fractional positions:
Sr (0.000, 0.000, 0.000)
V (0.500, 0.500, 0.500)
I (0.000, 0.000, 0.500)
O (0.000, 0.500, 0.000)
O (0.500, 0.000, 0.000)

Entry x
This record from the Alexandria database describes a geometry-optimized SrVIO2 structure. The functional is GGA+U.

## Properties
- density (g/cm³) = 4.31

abc: 7.696 4.254 7.933
angles: 90.00 117.93 90.00
Fractional positions:
Sr (0.051, 0.250, 0.337)
Sr (0.949, 0.750, 0.663)
V (0.436, 0.750, 0.599)
V (0.564, 0.250, 0.401)
I (0.265, 0.250, 0.025)
I (0.735, 0.750, 0.975)
O (0.159, 0.750, 0.502)
O (0.437, 0.250, 0.557)
O (0.563, 0.750, 0.443)
O (0.841, 0.250, 0.498)

Entry y
This record from the Alexandria database describes a geometry-optimized SrVIO2 structure. The functional is GGA+U.

## Properties
- density (g/cm³) = 5.14
- density of states at the Fermi level (states/eV/cell) = 0.36

abc: 4.257 4.257 5.299
angles: 90.00 90.00 90.00
Fractional positions:
Sr (0.000, 0.000, 0.000)
V (0.500, 0.500, 0.500)
I (0.500, 0.500, 0.000)
O (0.000, 0.500, 0.500)
O (0.500, 0.000, 0.500)

Going by the computed energies, the most stable comes first: entry x, entry y, entry w.

Entry w
This record from the Alexandria database describes a geometry-optimized SrWI2O structure. The functional is GGA+U.

## Properties
- density (g/cm³) = 5.05
- density of states at the Fermi level (states/eV/cell) = 3.01

abc: 6.422 6.422 4.312
angles: 90.00 90.00 90.00
Fractional positions:
Sr (0.000, 0.000, 0.000)
W (0.500, 0.500, 0.500)
I (0.000, 0.500, 0.000)
I (0.500, 0.000, 0.000)
O (0.000, 0.000, 0.500)

Entry x
This record from the Alexandria database describes a geometry-optimized SrWI2O structure. The functional is GGA+U.

## Properties
- density (g/cm³) = 5.81
- density of states at the Fermi level (states/eV/cell) = 2.25

abc: 6.229 6.229 3.989
angles: 90.00 90.00 90.00
Fractional positions:
Sr (0.000, 0.000, 0.000)
W (0.500, 0.500, 0.500)
I (0.000, 0.500, 0.500)
I (0.500, 0.000, 0.500)
O (0.500, 0.500, 0.000)

Going by the computed energies, the most stable comes first: entry x, entry w.